Computed, not measured: a geometry-optimized LiAcH6Ru structure at the GGA-PBE level of DFT.

a b c (Å): 4.8084 4.8084 4.5682
angles (deg): 90.00 90.00 120.00
Fractional positions:
Li 0.0000 0.0000 0.0000
Ac 0.6667 0.3333 0.5000
H 0.1769 0.3661 0.2502
H 0.1769 0.8109 0.7498
H 0.1891 0.3661 0.7498
H 0.1891 0.8231 0.2502
H 0.6339 0.8109 0.2502
H 0.6339 0.8231 0.7498
Ru 0.3333 0.6667 0.0000

calculated total energy = -4.332 eV per atom
SG = No. 149